[1]
Ti2CoSi2: optimized geometry, GGA-PBEsol.

a = 3.8832 Å, b = 5.8790 Å, c = 5.8790 Å
α = 90.00°, β = 90.00°, γ = 90.00°
Fractional positions:
Si 0.0000 0.8569 0.6431
Ti 0.5000 0.1645 0.6645
Ti 0.5000 0.8355 0.3355
Si 0.0000 0.1431 0.3569
Si 0.0000 0.6431 0.1431
Co 0.0000 0.0000 0.0000
Ti 0.5000 0.3355 0.1645
Co 0.0000 0.5000 0.5000
Ti 0.5000 0.6645 0.8355
Si 0.0000 0.3569 0.8569

- space-group type = P4/mbm
- raw total energy (eV/atom) = -7.99

[2]
Ti2CoSi: optimized geometry, GGA-PBEsol.

a = 4.2047 Å, b = 4.2047 Å, c = 4.2047 Å
α = 60.00°, β = 60.00°, γ = 60.00°
Each line ends with the local moment (μB).
Fractional positions:
Ti 0.0000 0.0000 0.0000  1.50
Si 0.2500 0.2500 0.2500  -0.01
Ti 0.7500 0.7500 0.7500  0.74
Co 0.5000 0.5000 0.5000  0.42

- space-group type = F-43m
- raw total energy (eV/atom) = -7.93

[3]
Ti3CoSi: optimized geometry, GGA-PBEsol.

a = 4.5115 Å, b = 4.5115 Å, c = 4.5115 Å
α = 90.00°, β = 90.00°, γ = 90.00°
Each line ends with the local moment (μB).
Fractional positions:
Ti 0.5000 0.0000 0.0000  -0.08
Ti 0.0000 0.0000 0.5000  -0.08
Si 0.0000 0.0000 0.0000  0.01
Co 0.5000 0.5000 0.5000  1.84
Ti 0.0000 0.5000 0.0000  -0.08

- space-group type = Pm-3m
- raw total energy (eV/atom) = -7.00

[4]
TiTlCoSi2: optimized geometry, GGA-PBEsol.

a = 4.6751 Å, b = 4.6751 Å, c = 5.1523 Å
α = 90.00°, β = 90.00°, γ = 90.00°
Each line ends with the local moment (μB).
Fractional positions:
Co 0.5000 0.5000 0.5000  2.06
Si 0.5000 0.0000 0.0000  0.03
Ti 0.0000 0.0000 0.0000  0.19
Tl 0.0000 0.0000 0.5000  0.01
Si 0.0000 0.5000 0.0000  0.03

- space-group type = P4/mmm
- raw total energy (eV/atom) = -4.85

[5]
Y2TiCoSi: optimized geometry, GGA-PBEsol.

a = 4.6716 Å, b = 5.0816 Å, c = 5.0816 Å
α = 90.00°, β = 90.00°, γ = 90.00°
Each line ends with the local moment (μB).
Fractional positions:
Y 0.0000 0.0000 0.5000  0.01
Ti 0.0000 0.0000 0.0000  0.24
Si 0.5000 0.0000 0.0000  0.01
Y 0.0000 0.5000 0.0000  0.01
Co 0.5000 0.5000 0.5000  1.93

- space-group type = P4/mmm
- raw total energy (eV/atom) = -6.17

[6]
TlCoSi2: optimized geometry, GGA-PBEsol.

a = 3.3457 Å, b = 4.9248 Å, c = 4.9248 Å
α = 60.27°, β = 70.14°, γ = 70.14°
Fractional positions:
Tl 0.4883 0.5117 0.5117
Si 0.2785 0.2215 0.2215
Si 0.0222 0.9778 0.9778
Co 0.7110 0.7890 0.7890

- space-group type = Imm2
- raw total energy (eV/atom) = -4.99

[7]
TlCoSi: optimized geometry, GGA-PBEsol.

a = 3.0788 Å, b = 3.0788 Å, c = 5.9906 Å
α = 90.00°, β = 90.00°, γ = 120.00°
Fractional positions:
Co 0.0000 0.0000 0.9581
Si 0.3333 0.6667 0.7300
Tl 0.6667 0.3333 0.3119

- space-group type = P3m1
- raw total energy (eV/atom) = -5.15

[8]
TlCoSi2: optimized geometry, GGA-PBEsol.

a = 2.8790 Å, b = 2.8790 Å, c = 7.8215 Å
α = 90.00°, β = 90.00°, γ = 90.22°
Each line ends with the local moment (μB).
Fractional positions:
Co 0.5000 0.5000 0.0000  0.17
Si 0.0000 0.0000 0.1676  0.00
Tl 0.5000 0.5000 0.5000  0.00
Si 0.0000 0.0000 0.8324  0.00

- space-group type = Cmmm
- raw total energy (eV/atom) = -5.42

[9]
TlCoSi2: optimized geometry, GGA-PBEsol.

a = 2.9772 Å, b = 2.9772 Å, c = 7.4053 Å
α = 90.00°, β = 90.00°, γ = 90.00°
Fractional positions:
Si 0.5000 0.5000 0.1680
Si 0.0000 0.0000 0.9597
Tl 0.0000 0.0000 0.5349
Co 0.5000 0.5000 0.8375

- space-group type = P4mm
- raw total energy (eV/atom) = -5.32

[10]
Tm5Co4Si14: optimized geometry, GGA-PBEsol.

a = 7.6422 Å, b = 7.6952 Å, c = 12.1536 Å
α = 90.00°, β = 98.89°, γ = 90.00°
Fractional positions:
Si 0.7300 0.4941 0.3219
Si 0.8891 0.4997 0.0612
Si 0.6829 0.9939 0.3216
Tm 0.3423 0.7518 0.8648
Co 0.5611 0.4997 0.7499
Si 0.3902 0.4996 0.0601
Tm 0.3397 0.2512 0.8650
Tm 0.1577 0.2518 0.1352
Si 0.3332 0.8329 0.5002
Si 0.6098 0.5004 0.9399
Si 0.1829 0.5061 0.3216
Si 0.6109 0.9997 0.9388
Si 0.0380 0.2728 0.6779
Si 0.2700 0.5059 0.6781
Tm 0.0000 0.0000 0.5000
Tm 0.8397 0.2488 0.8650
Tm 0.6603 0.7488 0.1350
Co 0.3734 0.1260 0.5003
Si 0.3891 0.0003 0.0612
Si 0.8902 0.0004 0.0601
Si 0.1098 0.9996 0.9399
Si 0.9498 0.2726 0.3221
Si 0.5380 0.2272 0.6779
Si 0.8171 0.4939 0.6784
Tm 0.6577 0.2482 0.1352
Si 0.4498 0.2274 0.3221
Co 0.0611 0.0003 0.7499
Si 0.1668 0.3329 0.4998
Si 0.0502 0.7274 0.6779
Co 0.9389 0.9997 0.2501
Si 0.7700 0.9941 0.6781
Tm 0.8423 0.7482 0.8648
Co 0.1266 0.6260 0.4997
Co 0.4389 0.5003 0.2501
Tm 0.5000 0.5000 0.5000
Si 0.6668 0.1671 0.4998
Tm 0.1603 0.7512 0.1350
Si 0.9620 0.7272 0.3221
Si 0.8332 0.6671 0.5002
Co 0.6266 0.8740 0.4997
Si 0.2300 0.0059 0.3219
Si 0.1109 0.5003 0.9388
Si 0.4620 0.7728 0.3221
Si 0.5502 0.7726 0.6779
Si 0.3171 0.0061 0.6784
Co 0.8734 0.3740 0.5003

- space-group type = P2_1/c
- raw total energy (eV/atom) = -6.66

[11]
TmCo2Si2: optimized geometry, GGA-PBEsol.

a = 3.8062 Å, b = 3.8062 Å, c = 5.4982 Å
α = 110.25°, β = 110.25°, γ = 90.00°
Fractional positions:
Tm 0.0000 0.0000 0.0000
Si 0.3729 0.3729 0.7458
Co 0.2500 0.7500 0.5000
Co 0.7500 0.2500 0.5000
Si 0.6271 0.6271 0.2542

- space-group type = I4/mmm
- raw total energy (eV/atom) = -7.28

[12]
TmCoSi: optimized geometry, GGA-PBEsol.

a = 4.1003 Å, b = 6.7212 Å, c = 6.7475 Å
α = 90.00°, β = 90.00°, γ = 90.00°
Fractional positions:
Co 0.2500 0.6468 0.5651
Si 0.2500 0.3036 0.6077
Tm 0.2500 0.9829 0.3120
Co 0.7500 0.8532 0.0651
Tm 0.7500 0.0171 0.6880
Si 0.7500 0.1964 0.1077
Co 0.7500 0.3532 0.4349
Tm 0.7500 0.5171 0.8120
Co 0.2500 0.1468 0.9349
Tm 0.2500 0.4829 0.1880
Si 0.7500 0.6964 0.3923
Si 0.2500 0.8036 0.8923

- space-group type = Pnma
- raw total energy (eV/atom) = -6.96